Compound: Y3In2Hg3
Source: Alexandria via LeMat-Bulk
Functional: PBE-GGA
Structure: optimized geometry

* energy of formation from the pure elements: -0.368 eV/atom
* symmetry: P6_3/mcm (193)
* M_tot: 0.00 μB/f.u.

Structure (POSCAR):
```
Y3In2Hg3
1.0
8.986 0.000 0.000
-4.493 7.782 0.000
0.000 0.000 6.252
Y In Hg
6 4 6
Cartesian
-1.398 2.422 1.563
-3.095 5.360 4.689
2.797 0.000 1.563
1.398 2.422 4.689
6.190 0.000 4.689
3.095 5.360 1.563
0.000 5.188 0.000
0.000 5.188 3.126
4.493 2.594 0.000
4.493 2.594 3.126
-1.544 2.674 4.689
-2.949 5.108 1.563
3.088 0.000 4.689
1.544 2.674 1.563
5.899 0.000 1.563
2.949 5.108 4.689
```